{
  "formula": "KBe2In",
  "functional": "GGA-PBE",
  "state": "relaxed",
  "cell": [[-1.022, 1.683, -3.925], [-1.117, -3.843, -1.357], [-5.526, 0.949, 1.846]],
  "species": ["Be", "Be", "K", "In"],
  "fractional_positions": [[0.000, 0.999, 0.250], [0.000, 0.501, 0.250], [0.500, 0.750, 0.750], [0.500, 0.250, 0.250]],
  "vol_a3_per_fu": 109.5,
  "dft_energy_ev_per_atom": -2.367,
  "delta_e_f_ev_per_atom": 0.45,
  "magnetic_moment_mub_per_cell": 0.000
}